[1]
An optimized crystal structure of LiHfCoPb, computed with PBE-GGA.

Cell lengths 4.597, 4.597, 4.597 Å; angles 60.00, 60.00, 60.00 degrees
Atoms (fractional coordinates):
Hf 0.250 0.250 0.250
Li 0.500 0.500 0.500
Pb 0.000 0.000 0.000
Co 0.750 0.750 0.750

Summary:
Magnetization in μB/f.u.: 0.0
Excess energy over the best structure of this formula in the dataset in meV per atom: 484.3
DFT total energy in eV/atom: -5.372

***

[2]
An optimized crystal structure of LiHfCoPb, computed with PBE-GGA.

Cell lengths 4.627, 4.627, 4.627 Å; angles 60.00, 60.00, 60.00 degrees
Atoms (fractional coordinates):
Pb 0.500 0.500 0.500
Li 0.750 0.750 0.750
Hf 0.250 0.250 0.250
Co 0.000 0.000 0.000

Summary:
Magnetization in μB/f.u.: 0.8
Excess energy over the best structure of this formula in the dataset in meV per atom: 304.5
DFT total energy in eV/atom: -5.552

***

[3]
An optimized crystal structure of LiHfCoPb, computed with PBE-GGA.

Cell lengths 4.507, 4.507, 4.507 Å; angles 60.00, 60.00, 60.00 degrees
Atoms (fractional coordinates):
Hf 0.500 0.500 0.500
Co 0.750 0.750 0.750
Li 0.250 0.250 0.250
Pb 0.000 0.000 0.000

Summary:
Magnetization in μB/f.u.: 0.0
Excess energy over the best structure of this formula in the dataset in meV per atom: 0.0
DFT total energy in eV/atom: -5.856

***

[4]
An optimized crystal structure of Li2HfZrCo2Pb2, computed with PBE-GGA.

Cell lengths 4.496, 4.496, 6.359 Å; angles 90.00, 90.00, 90.00 degrees
Atoms (fractional coordinates):
Zr 0.500 0.500 0.500
Li 0.500 0.000 0.750
Pb 0.000 0.000 0.500
Li 0.000 0.500 0.250
Hf 0.000 0.000 0.000
Pb 0.500 0.500 0.000
Co 0.500 0.000 0.247
Co 0.000 0.500 0.753

Summary:
Magnetization in μB/f.u.: 0.0
DFT total energy in eV/atom: -5.709

***

[5]
An optimized crystal structure of Li2Hf2CoSn2Pd, computed with PBE-GGA.

Cell lengths 4.499, 4.499, 6.456 Å; angles 90.00, 90.00, 90.00 degrees
Atoms (fractional coordinates):
Sn 0.500 0.000 0.240
Hf 0.500 0.000 0.763
Co 0.000 0.000 0.000
Li 0.000 0.000 0.500
Hf 0.000 0.500 0.237
Sn 0.000 0.500 0.760
Li 0.500 0.500 0.000
Pd 0.500 0.500 0.500

Summary:
Magnetization in μB/f.u.: 0.0
DFT total energy in eV/atom: -5.953

***

[6]
An optimized crystal structure of Li2Hf2CoSn2Pt, computed with PBE-GGA.

Cell lengths 4.500, 4.500, 6.478 Å; angles 90.00, 90.00, 90.00 degrees
Atoms (fractional coordinates):
Hf 0.500 0.000 0.758
Sn 0.500 0.000 0.233
Li 0.000 0.000 0.500
Pt 0.500 0.500 0.500
Hf 0.000 0.500 0.242
Co 0.000 0.000 0.000
Li 0.500 0.500 0.000
Sn 0.000 0.500 0.767

Summary:
Magnetization in μB/f.u.: 0.1
DFT total energy in eV/atom: -6.135

***

[7]
An optimized crystal structure of LiHfCoSn, computed with PBE-GGA.

Cell lengths 4.530, 4.530, 4.530 Å; angles 60.00, 60.00, 60.00 degrees
Atoms (fractional coordinates):
Hf 0.250 0.250 0.250
Co 0.750 0.750 0.750
Li 0.500 0.500 0.500
Sn 0.000 0.000 0.000

Summary:
Magnetization in μB/f.u.: 0.0
Excess energy over the best structure of this formula in the dataset in meV per atom: 509.4
DFT total energy in eV/atom: -5.684

***

[8]
An optimized crystal structure of LiHfCoSn, computed with PBE-GGA.

Cell lengths 4.420, 4.420, 6.251 Å; angles 90.00, 90.00, 90.00 degrees
Atoms (fractional coordinates):
Co 0.500 0.000 0.250
Sn 0.000 0.000 0.500
Sn 0.500 0.500 0.000
Li 0.500 0.000 0.750
Co 0.000 0.500 0.750
Hf 0.500 0.500 0.500
Li 0.000 0.500 0.250
Hf 0.000 0.000 0.000

Summary:
Magnetization in μB/f.u.: 0.0
Excess energy over the best structure of this formula in the dataset in meV per atom: 0.0
DFT total energy in eV/atom: -6.193